No. 1
{
  "formula": "Sb5Pb8",
  "functional": "PBE",
  "state": "optimized geometry",
  "lattice_angstrom": [[1.896, 6.862, -5.718], [3.874, -8.175, -1.242], [-7.624, -0.987, -0.139]],
  "species": ["Pb", "Pb", "Pb", "Sb", "Sb", "Pb", "Pb", "Pb", "Sb", "Pb", "Pb", "Sb", "Sb"],
  "fractional_positions": [[0.764, 0.432, 0.196], [0.236, 0.568, 0.804], [0.295, 0.924, 0.219], [0.765, 0.265, 0.500], [0.753, 0.740, 0.493], [0.706, 0.521, 0.796], [0.294, 0.479, 0.204], [0.275, 0.090, 0.796], [0.247, 0.260, 0.507], [0.705, 0.076, 0.781], [0.725, 0.910, 0.204], [0.000, 0.000, 0.000], [0.235, 0.735, 0.500]],
  "raw_formation_energy_mev_per_atom": 86.7,
  "vol_a3_per_atom": 34.367,
  "e_tot_ev_per_atom": -3.78
}

---

No. 2
{
  "formula": "Pr2AuSe2O2",
  "functional": "PBE",
  "state": "optimized geometry",
  "lattice_angstrom": [[-3.296, 0.690, 2.214], [2.817, -2.560, 1.324], [5.583, 8.994, 5.510]],
  "species": ["O", "Se", "O", "Pr", "Pr", "Se", "Au"],
  "fractional_positions": [[0.333, 0.667, 0.424], [0.000, 0.000, 0.800], [0.667, 0.333, 0.576], [0.333, 0.667, 0.628], [0.667, 0.333, 0.372], [0.000, 0.000, 0.200], [0.000, 0.000, 0.000]],
  "raw_formation_energy_mev_per_atom": -1952.8,
  "vol_a3_per_atom": 23.976,
  "e_tot_ev_per_atom": -6.20
}

---

No. 3
{
  "formula": "AuBr3N2",
  "functional": "PBE",
  "state": "optimized geometry",
  "lattice_angstrom": [[-6.876, -3.561, -3.017], [6.010, -2.026, -5.370], [1.236, -5.774, 3.001]],
  "species": ["Br", "Br", "N", "Br", "Br", "Br", "Au", "Au", "Br", "N", "N", "N"],
  "fractional_positions": [[0.732, 0.268, 0.750], [0.061, 0.220, 0.426], [0.639, 0.469, 0.224], [0.220, 0.061, 0.926], [0.780, 0.939, 0.074], [0.268, 0.732, 0.250], [0.918, 0.082, 0.750], [0.082, 0.918, 0.250], [0.939, 0.780, 0.574], [0.469, 0.639, 0.724], [0.361, 0.531, 0.776], [0.531, 0.361, 0.276]],
  "raw_formation_energy_mev_per_atom": -5.2,
  "vol_a3_per_atom": 36.664,
  "e_tot_ev_per_atom": -4.16,
  "polymorph_energy_ev_per_atom": 0.0000
}

---

No. 4
{
  "formula": "La3Pr7Er2",
  "functional": "PBE",
  "state": "optimized geometry",
  "lattice_angstrom": [[-1.097, 3.110, -1.550], [-4.251, -3.378, -3.770], [-12.585, 1.823, 12.563]],
  "species": ["Pr", "Pr", "La", "Er", "Pr", "Pr", "Pr", "La", "La", "Pr", "Pr", "Er"],
  "fractional_positions": [[0.000, 0.327, 0.831], [0.500, 0.823, 0.832], [0.500, 0.500, 0.000], [0.500, 0.503, 0.330], [0.000, 0.673, 0.169], [0.000, 0.000, 0.000], [0.500, 0.177, 0.168], [0.000, 0.000, 0.663], [0.000, 0.000, 0.337], [0.500, 0.755, 0.501], [0.500, 0.245, 0.499], [0.500, 0.497, 0.670]],
  "vol_a3_per_atom": 35.878,
  "formation_enthalpy_0k_ev_per_atom": 0.076,
  "e_tot_ev_per_atom": -4.70,
  "polymorph_energy_ev_per_atom": 0.0000
}

---

No. 5
{
  "formula": "LiCd2Bi",
  "functional": "PBE",
  "state": "optimized geometry",
  "lattice_angstrom": [[0.211, 2.365, -2.504], [-0.665, -2.434, -2.355], [-7.800, 1.522, 3.160]],
  "species": ["Cd", "Bi", "Cd", "Li"],
  "fractional_positions": [[0.314, 0.314, 0.629], [0.524, 0.524, 0.049], [0.707, 0.707, 0.414], [0.916, 0.916, 0.831]],
  "vol_a3_per_atom": 24.405,
  "formation_enthalpy_0k_ev_per_atom": -0.133,
  "e_tot_ev_per_atom": -2.04
}

---

No. 6
{
  "formula": "In2CuSi",
  "functional": "PBE",
  "state": "optimized geometry",
  "lattice_angstrom": [[-4.021, 1.715, -0.077], [-0.653, -1.725, -4.287], [-1.425, -3.272, 1.534]],
  "species": ["Si", "In", "In", "Cu"],
  "fractional_positions": [[0.500, 0.000, 0.500], [0.500, 0.500, 0.000], [0.000, 0.000, 0.000], [0.000, 0.500, 0.500]],
  "raw_formation_energy_mev_per_atom": 355.1,
  "vol_a3_per_atom": 19.816,
  "e_tot_ev_per_atom": -3.39
}

---

No. 7
{
  "formula": "K2NaZrTe",
  "functional": "PBE",
  "state": "optimized geometry",
  "lattice_angstrom": [[6.678, 0.000, 0.000], [0.000, 5.596, 0.000], [0.000, 0.000, 6.678]],
  "species": ["Te", "Na", "K", "K", "Zr"],
  "fractional_positions": [[0.000, 0.000, 0.000], [0.500, 0.500, 0.500], [0.500, 0.000, 0.000], [0.000, 0.000, 0.500], [0.000, 0.500, 0.000]],
  "raw_formation_energy_mev_per_atom": 116.4,
  "vol_a3_per_atom": 49.906,
  "e_tot_ev_per_atom": -2.92
}

---

No. 8
{
  "formula": "CsCoSCl2",
  "functional": "PBE",
  "state": "optimized geometry",
  "lattice_angstrom": [[6.191, 0.000, 0.000], [0.000, 6.191, 0.000], [0.000, 0.000, 5.576]],
  "species": ["S", "Cl", "Co", "Cs", "Cl"],
  "fractional_positions": [[0.000, 0.000, 0.500], [0.000, 0.500, 0.000], [0.500, 0.500, 0.500], [0.000, 0.000, 0.000], [0.500, 0.000, 0.000]],
  "raw_formation_energy_mev_per_atom": 879.0,
  "vol_a3_per_atom": 42.740,
  "e_tot_ev_per_atom": -2.28,
  "polymorph_energy_ev_per_atom": 1.6170
}

---

No. 9
{
  "formula": "Ba2OsO4F2",
  "functional": "PBE",
  "state": "optimized geometry",
  "lattice_angstrom": [[-3.564, 4.222, -1.923], [-2.480, -4.636, 2.565], [3.464, 1.280, 4.537]],
  "species": ["Ba", "Os", "F", "Ba", "F", "O", "O", "O", "O"],
  "fractional_positions": [[0.500, 0.750, 0.250], [0.000, 0.000, 0.000], [0.000, 0.254, 0.254], [0.500, 0.250, 0.750], [0.000, 0.746, 0.746], [0.440, 0.220, 0.220], [0.000, 0.220, 0.780], [0.000, 0.780, 0.220], [0.560, 0.780, 0.780]],
  "raw_formation_energy_mev_per_atom": -2209.9,
  "vol_a3_per_atom": 16.323,
  "e_tot_ev_per_atom": -6.50
}

---

No. 10
{
  "formula": "Y3Er5In",
  "functional": "PBE",
  "state": "optimized geometry",
  "lattice_angstrom": [[9.246, 0.000, 0.000], [0.000, 9.246, 0.000], [-4.623, -4.623, 6.711]],
  "species": ["Y", "In", "Er", "Er", "Y", "Er", "Er", "Er", "Er", "Y", "In", "Y", "Y", "Y", "Er", "Er", "Er", "Er"],
  "fractional_positions": [[0.614, 0.114, 0.000], [0.250, 0.750, 0.500], [0.675, 0.175, 0.733], [0.175, 0.058, 0.733], [0.750, 0.750, 0.500], [0.325, 0.825, 0.267], [0.000, 0.000, 0.000], [0.558, 0.675, 0.733], [0.500, 0.500, 0.000], [0.886, 0.614, 0.000], [0.750, 0.250, 0.500], [0.386, 0.886, 0.000], [0.114, 0.386, 0.000], [0.250, 0.250, 0.500], [0.942, 0.442, 0.267], [0.058, 0.558, 0.733], [0.825, 0.942, 0.267], [0.442, 0.325, 0.267]],
  "vol_a3_per_atom": 31.869,
  "formation_enthalpy_0k_ev_per_atom": 0.200,
  "e_tot_ev_per_atom": -4.79
}

---

No. 11
{
  "formula": "BeCrTc",
  "functional": "PBE",
  "state": "optimized geometry",
  "lattice_angstrom": [[3.793, 0.000, 0.000], [1.896, 3.285, 0.000], [1.896, 1.095, 3.097]],
  "species": ["Be", "Cr", "Tc"],
  "fractional_positions": [[0.750, 0.750, 0.750], [0.000, 0.000, 0.000], [0.500, 0.500, 0.500]],
  "vol_a3_per_atom": 12.859,
  "formation_enthalpy_0k_ev_per_atom": 0.513,
  "e_tot_ev_per_atom": -7.39,
  "polymorph_energy_ev_per_atom": 0.6302
}

---

No. 12
{
  "formula": "CsBaI2",
  "functional": "PBE",
  "state": "optimized geometry",
  "lattice_angstrom": [[4.837, 0.000, 0.000], [2.419, 4.189, 0.000], [2.419, 1.396, 9.875]],
  "species": ["Ba", "I", "I", "Cs"],
  "fractional_positions": [[0.668, 0.668, 0.996], [0.258, 0.258, 0.225], [0.076, 0.076, 0.772], [0.498, 0.498, 0.507]],
  "raw_formation_energy_mev_per_atom": -1348.5,
  "vol_a3_per_atom": 50.025,
  "e_tot_ev_per_atom": -2.82,
  "polymorph_energy_ev_per_atom": 0.0161
}

---

No. 13
{
  "formula": "MgCuHg",
  "functional": "PBE",
  "state": "optimized geometry",
  "lattice_angstrom": [[4.560, 0.000, 0.000], [-2.280, 3.949, 0.000], [0.000, 0.000, 3.069]],
  "species": ["Cu", "Mg", "Hg"],
  "fractional_positions": [[0.000, 0.000, 0.160], [0.667, 0.333, 0.669], [0.333, 0.667, 0.171]],
  "vol_a3_per_atom": 18.421,
  "formation_enthalpy_0k_ev_per_atom": -0.041,
  "e_tot_ev_per_atom": -2.04,
  "polymorph_energy_ev_per_atom": 0.0368
}

---

No. 14
{
  "formula": "CaZr2I",
  "functional": "PBE",
  "state": "optimized geometry",
  "lattice_angstrom": [[4.275, 0.000, 0.000], [0.000, 4.275, 0.000], [2.137, 2.137, 12.252]],
  "species": ["Ca", "I", "Zr", "I", "Zr", "Zr", "Zr", "Ca"],
  "fractional_positions": [[0.250, 0.750, 0.500], [0.000, 0.000, 0.000], [0.875, 0.875, 0.750], [0.750, 0.250, 0.500], [0.375, 0.375, 0.750], [0.125, 0.625, 0.250], [0.625, 0.125, 0.250], [0.500, 0.500, 0.000]],
  "raw_formation_energy_mev_per_atom": 230.4,
  "vol_a3_per_atom": 27.987,
  "e_tot_ev_per_atom": -4.93,
  "polymorph_energy_ev_per_atom": 0.0000
}

---

No. 15
{
  "formula": "AcMg5In7",
  "functional": "PBE",
  "state": "optimized geometry",
  "lattice_angstrom": [[-5.876, 1.346, 1.923], [-5.616, -3.359, -4.399], [-2.781, -5.008, 5.419]],
  "species": ["Mg", "In", "In", "Mg", "In", "In", "Mg", "Mg", "In", "In", "In", "Ac", "Mg"],
  "fractional_positions": [[0.498, 0.002, 0.498], [0.996, 0.658, 0.350], [0.505, 0.798, 0.191], [0.002, 0.498, 0.002], [0.505, 0.191, 0.798], [0.273, 0.227, 0.227], [0.002, 0.002, 0.498], [0.498, 0.498, 0.002], [0.648, 0.352, 0.352], [0.996, 0.350, 0.658], [0.346, 0.654, 0.654], [0.998, 0.002, 0.002], [0.732, 0.768, 0.768]],
  "vol_a3_per_atom": 25.382,
  "formation_enthalpy_0k_ev_per_atom": -0.171,
  "e_tot_ev_per_atom": -2.58
}